The following is a PBE calculation of a relaxed structure of LaErCo, from Alexandria via LeMat-Bulk.

POSCAR file:
```
LaErCo
1.0
-3.131 2.384 0.369
0.045 -2.784 -2.805
-2.629 -4.071 3.998
La Co Er
1 1 1
Direct
0.000 0.000 0.102
0.667 0.333 0.336
0.333 0.667 0.562
```

Output
Space group: P3m1
DOS(E_F), states/eV/cell: 2.70
Size of the total moment, μB per formula unit: 0.001
Formation energy from the elements, eV per atom: -0.0708



The following is a PBE calculation of a relaxed structure of NdInPd6, from Alexandria via LeMat-Bulk.

POSCAR file:
```
NdInPd6
1.0
5.465 0.472 0.534
-0.128 5.484 0.534
-0.128 -0.143 5.508
Nd In Pd
1 1 6
Direct
0.000 0.000 0.000
0.500 0.500 0.500
0.165 0.531 0.165
0.165 0.165 0.531
0.835 0.469 0.835
0.469 0.835 0.835
0.835 0.835 0.469
0.531 0.165 0.165
```

Output
Space group: R-3m
DOS(E_F), states/eV/cell: 3.76
Size of the total moment, μB per formula unit: 0.000
Formation energy from the elements, eV per atom: -0.1245



The following is a PBE calculation of a relaxed structure of Pm2SmTmMg, from Alexandria via LeMat-Bulk.

POSCAR file:
```
Pm2SmTmMg
1.0
5.569 0.000 0.000
0.000 6.457 1.678
0.000 2.420 9.371
Pm Sm Tm Mg
4 2 2 2
Direct
0.750 0.686 0.855
0.250 0.314 0.145
0.250 0.049 0.572
0.750 0.951 0.428
0.750 0.311 0.646
0.250 0.689 0.354
0.250 0.932 0.944
0.750 0.068 0.056
0.750 0.516 0.245
0.250 0.484 0.755
```

Output
Space group: P2_1/m
DOS(E_F), states/eV/cell: 14.09
Size of the total moment, μB per formula unit: 0.000
Formation energy from the elements, eV per atom: 0.0116



The following is a PBE calculation of a relaxed structure of NpReRh, from Alexandria via LeMat-Bulk.

POSCAR file:
```
NpReRh
1.0
-0.351 6.484 0.318
-2.146 0.479 -1.815
-1.083 -8.296 5.664
Np Rh Re
2 2 2
Direct
0.331 0.388 0.304
0.669 0.612 0.696
0.596 0.616 0.924
0.404 0.384 0.076
0.007 0.910 0.620
0.993 0.090 0.380
```

Output
Space group: P-1
DOS(E_F), states/eV/cell: 10.66
Size of the total moment, μB per formula unit: 0.007
Formation energy from the elements, eV per atom: 0.0771



The following is a PBE calculation of a relaxed structure of V3Ru3Rh, from Alexandria via LeMat-Bulk.

POSCAR file:
```
V3Ru3Rh
1.0
5.842 -0.051 -0.001
-0.037 5.842 -0.001
0.001 0.001 5.944
V Ru Rh
6 6 2
Direct
0.000 0.000 0.747
0.500 0.000 0.254
0.000 0.500 0.254
0.500 0.000 0.746
0.000 0.500 0.746
0.000 0.000 0.253
0.259 0.259 0.500
0.258 0.742 0.500
0.742 0.258 0.500
0.257 0.743 0.000
0.743 0.257 0.000
0.741 0.741 0.500
0.264 0.264 0.000
0.736 0.736 0.000
```

Output
Space group: Cmmm
DOS(E_F), states/eV/cell: 7.65
Size of the total moment, μB per formula unit: 0.000
Formation energy from the elements, eV per atom: -0.1318



The following is a PBE calculation of a relaxed structure of PuSb3Rh5, from Alexandria via LeMat-Bulk.

POSCAR file:
```
PuSb3Rh5
1.0
4.201 0.000 0.000
-2.101 6.836 0.000
0.000 0.000 12.461
Pu Sb Rh
2 6 10
Direct
0.772 0.544 0.750
0.228 0.456 0.250
0.382 0.764 0.933
0.917 0.833 0.250
0.382 0.764 0.567
0.618 0.236 0.433
0.083 0.167 0.750
0.618 0.236 0.067
0.804 0.609 0.432
0.196 0.391 0.932
0.000 0.000 0.500
0.000 0.000 0.000
0.434 0.867 0.132
0.566 0.133 0.868
0.566 0.133 0.632
0.804 0.609 0.068
0.196 0.391 0.568
0.434 0.867 0.368
```

Output
Raw formation energy, eV/atom: -0.405
Space group: Cmcm
DOS(E_F), states/eV/cell: 35.64
Size of the total moment, μB per formula unit: 5.373



The following is a PBE calculation of a relaxed structure of BaZr2AlBi, from Alexandria via LeMat-Bulk.

POSCAR file:
```
BaZr2AlBi
1.0
5.578 0.000 0.000
0.000 5.541 0.000
0.000 0.000 5.578
Al Bi Zr Ba
1 1 2 1
Direct
0.000 0.500 0.000
0.000 0.000 0.000
0.000 0.000 0.500
0.500 0.000 0.000
0.500 0.500 0.500
```

Output
Space group: P4/mmm
DOS(E_F), states/eV/cell: 5.24
Size of the total moment, μB per formula unit: 0.000
Formation energy from the elements, eV per atom: 0.7437



The following is a PBE calculation of a relaxed structure of NbPbI4, from Alexandria via LeMat-Bulk.

POSCAR file:
```
NbPbI4
1.0
6.932 0.266 -0.245
-0.264 8.763 1.656
0.214 2.631 8.522
Nb Pb I
2 2 8
Direct
0.750 0.581 0.419
0.250 0.419 0.581
0.250 0.901 0.099
0.750 0.099 0.901
0.918 0.485 0.741
0.890 0.934 0.302
0.582 0.259 0.515
0.610 0.698 0.066
0.390 0.302 0.934
0.418 0.741 0.485
0.110 0.066 0.698
0.082 0.515 0.259
```

Output
Raw formation energy, eV/atom: -0.319
Space group: C2/c
DOS(E_F), states/eV/cell: 0.76
Size of the total moment, μB per formula unit: 1.012